This record from the Alexandria database describes a geometry-optimized CsCe2MoO8 structure. The functional is PBE with a Hubbard U.

Structure (extended XYZ):
```
12
Lattice="5.5307 -0.7046 -0.2235 -0.5682 5.1310 0.7907 -0.3847 1.5528 7.2048" Properties=species:S:1:pos:R:3 pbc="T T T"
O 2.0285 3.9386 4.2454
O 4.6263 2.0072 5.5533
O 3.3511 4.5380 7.1403
O -0.0486 3.9721 2.2187
O 2.5493 2.0406 3.5266
Ce 2.5674 2.7449 5.9322
O 3.9442 -0.0578 0.7106
Cs -0.1924 0.7764 3.6024
Ce 2.0104 3.2343 1.8398
Mo 0.0000 0.0000 0.0000
O 1.2266 1.4412 0.6317
O 0.6336 6.0371 7.0614
```

VASP energy in eV per atom: -7.22
Spin magnetization in μB/f.u.: 1.0
Volume in Å³/cell: 194.76